(1)
# TlGeICl2

Crystalline TlGeICl2 at its relaxed geometry (PBE, Alexandria via LeMat-Bulk).

Output
Raw formation energy (eV/atom): -0.724

Lattice parameters (Å, degrees): 5.3658 6.1579 11.5176 100.53 90.00 90.00
Atoms (fractional coordinates):
Tl: 0.7500 0.2785 0.6712
Tl: 0.2500 0.7215 0.3288
Ge: 0.2500 0.9336 0.8390
Ge: 0.7500 0.0664 0.1610
I: 0.7500 0.5214 0.1517
I: 0.2500 0.4786 0.8483
Cl: 0.7500 0.9638 0.8496
Cl: 0.2500 0.0362 0.1504
Cl: 0.2500 0.8976 0.6312
Cl: 0.7500 0.1024 0.3688


(2)
# LaDyTlRh

Crystalline LaDyTlRh at its relaxed geometry (PBE, Alexandria via LeMat-Bulk).

Output
ΔE_f (eV/atom): -0.577

Lattice parameters (Å, degrees): 3.5295 3.5295 8.2145 90.00 90.00 90.00
Atoms (fractional coordinates):
La: 0.5000 0.5000 0.7806
Dy: 0.5000 0.5000 0.3645
Tl: 0.0000 0.0000 0.0878
Rh: 0.0000 0.0000 0.5518


(3)
# ScTcOs2

Crystalline ScTcOs2 at its relaxed geometry (PBE, Alexandria via LeMat-Bulk).

Output
ΔE_f (eV/atom): 0.080

Lattice parameters (Å, degrees): 4.4416 4.4416 4.4416 60.00 60.00 60.00
Atoms (fractional coordinates):
Sc: 0.0000 0.0000 0.0000
Os: 0.2500 0.2500 0.2500
Os: 0.7500 0.7500 0.7500
Tc: 0.5000 0.5000 0.5000


(4)
# KPm2Sm

Crystalline KPm2Sm at its relaxed geometry (PBE, Alexandria via LeMat-Bulk).

Output
ΔE_f (eV/atom): 0.204

Lattice parameters (Å, degrees): 3.6635 3.6635 13.6088 82.26 82.26 60.00
Atoms (fractional coordinates):
K: 0.0000 0.0000 0.0000
Sm: 0.5000 0.5000 0.5000
Pm: 0.0949 0.0949 0.7153
Pm: 0.9051 0.9051 0.2847


(5)
# LaTa2AlS

Crystalline LaTa2AlS at its relaxed geometry (PBE, Alexandria via LeMat-Bulk).

Output
Raw formation energy (eV/atom): 0.163

Lattice parameters (Å, degrees): 4.6382 5.2427 4.6382 90.00 90.00 90.00
Atoms (fractional coordinates):
S: 0.0000 0.0000 0.0000
La: 0.5000 0.5000 0.5000
Al: 0.0000 0.5000 0.0000
Ta: 0.0000 0.0000 0.5000
Ta: 0.5000 0.0000 0.0000


(6)
# VGaCo5

Crystalline VGaCo5 at its relaxed geometry (PBE, Alexandria via LeMat-Bulk).

Output
ΔE_f (eV/atom): 0.161

Lattice parameters (Å, degrees): 3.9205 3.9205 5.5712 90.00 90.00 90.00
Each line ends with the local moment (μB).
Atoms (fractional coordinates):
V: 0.5000 0.5000 0.0000  -0.44
Ga: 0.0000 0.0000 0.5000  -0.05
Co: 0.0000 0.5000 0.7663  0.63
Co: 0.0000 0.5000 0.2337  0.63
Co: 0.5000 0.0000 0.7663  0.63
Co: 0.5000 0.0000 0.2337  0.63
Co: 0.5000 0.5000 0.5000  1.71


(7)
# Li4YAs2

Crystalline Li4YAs2 at its relaxed geometry (PBE, Alexandria via LeMat-Bulk).

Output
ΔE_f (eV/atom): -0.817

Lattice parameters (Å, degrees): 4.1322 7.6427 7.6427 90.00 90.00 90.00
Each line ends with the local moment (μB).
Atoms (fractional coordinates):
Li: 0.0000 0.0977 0.3370  0.01
Li: 0.0000 0.9023 0.6630  0.01
Li: 0.5000 0.1630 0.5977  0.01
Li: 0.5000 0.8370 0.4023  0.01
Li: 0.5000 0.4023 0.8370  0.01
Li: 0.5000 0.5977 0.1630  0.01
Li: 0.0000 0.3370 0.0977  0.01
Li: 0.0000 0.6630 0.9023  0.01
Y: 0.5000 0.0000 0.0000  0.07
Y: 0.0000 0.5000 0.5000  0.07
As: 0.0000 0.2100 0.7900  -0.01
As: 0.0000 0.7900 0.2100  -0.01
As: 0.5000 0.7100 0.7100  -0.01
As: 0.5000 0.2900 0.2900  -0.01


(8)
# NaMn2Re

Crystalline NaMn2Re at its relaxed geometry (PBE, Alexandria via LeMat-Bulk).

Output
ΔE_f (eV/atom): 0.771

Lattice parameters (Å, degrees): 4.3857 4.3857 4.3857 60.00 60.00 60.00
Each line ends with the local moment (μB).
Atoms (fractional coordinates):
Re: 0.5000 0.5000 0.5000  -1.07
Mn: 0.2500 0.2500 0.2500  2.94
Mn: 0.7500 0.7500 0.7500  2.94
Na: 0.0000 0.0000 0.0000  0.00


(9)
# AcMgScPb2

Crystalline AcMgScPb2 at its relaxed geometry (PBE, Alexandria via LeMat-Bulk).

Output
ΔE_f (eV/atom): -0.409

Lattice parameters (Å, degrees): 4.7135 4.7135 7.4870 108.35 108.35 90.00
Atoms (fractional coordinates):
Ac: 0.0000 0.0000 0.0000
Mg: 0.7500 0.2500 0.5000
Sc: 0.2500 0.7500 0.5000
Pb: 0.6169 0.6169 0.2338
Pb: 0.3831 0.3831 0.7662


(10)
# KCd2SbRh

Crystalline KCd2SbRh at its relaxed geometry (PBE, Alexandria via LeMat-Bulk).

Output
Raw formation energy (eV/atom): -0.179

Lattice parameters (Å, degrees): 5.3097 5.3097 5.0728 90.00 90.00 90.00
Atoms (fractional coordinates):
Sb: 0.0000 0.0000 0.5000
K: 0.5000 0.5000 0.5000
Rh: 0.0000 0.0000 0.0000
Cd: 0.0000 0.5000 0.0000
Cd: 0.5000 0.0000 0.0000


(11)
# Zr6Al16Pt7

Crystalline Zr6Al16Pt7 at its relaxed geometry (PBE, Alexandria via LeMat-Bulk).

Output
ΔE_f (eV/atom): -0.926

Lattice parameters (Å, degrees): 8.7845 8.7845 8.7845 60.00 60.00 60.00
Atoms (fractional coordinates):
Al: 0.1202 0.6394 0.1202
Al: 0.1202 0.1202 0.1202
Al: 0.1202 0.1202 0.6394
Al: 0.6394 0.1202 0.1202
Al: 0.8798 0.8798 0.8798
Al: 0.8798 0.3606 0.8798
Al: 0.8798 0.8798 0.3606
Al: 0.3606 0.8798 0.8798
Al: 0.3346 0.9961 0.3346
Al: 0.3346 0.3346 0.3346
Al: 0.3346 0.3346 0.9961
Al: 0.9961 0.3346 0.3346
Al: 0.6654 0.6654 0.6654
Al: 0.6654 0.0039 0.6654
Al: 0.6654 0.6654 0.0039
Al: 0.0039 0.6654 0.6654
Pt: 0.0000 0.0000 0.0000
Pt: 0.5000 0.5000 0.0000
Pt: 0.0000 0.0000 0.5000
Pt: 0.0000 0.5000 0.5000
Pt: 0.5000 0.0000 0.0000
Pt: 0.0000 0.5000 0.0000
Pt: 0.5000 0.0000 0.5000
Zr: 0.6856 0.6856 0.3144
Zr: 0.3144 0.3144 0.6856
Zr: 0.3144 0.6856 0.6856
Zr: 0.6856 0.3144 0.3144
Zr: 0.3144 0.6856 0.3144
Zr: 0.6856 0.3144 0.6856


(12)
# V7Mo3Ru2

Crystalline V7Mo3Ru2 at its relaxed geometry (PBE, Alexandria via LeMat-Bulk).

Output
ΔE_f (eV/atom): 0.164

Lattice parameters (Å, degrees): 4.2702 4.2635 10.2768 101.97 90.00 90.00
Atoms (fractional coordinates):
V: 0.0000 0.4268 0.8536
V: 0.0000 0.7160 0.4320
V: 0.0000 0.0000 0.0000
V: 0.0000 0.5732 0.1464
V: 0.5000 0.0772 0.1543
V: 0.5000 0.9228 0.8457
V: 0.0000 0.2840 0.5680
Mo: 0.5000 0.5000 0.0000
Mo: 0.5000 0.6528 0.3055
Mo: 0.5000 0.3472 0.6945
Ru: 0.0000 0.8505 0.7010
Ru: 0.0000 0.1495 0.2990


no.,total magnetization (μB per formula unit),E (eV per cell)
1,0.00,-31.7
2,0.00,-21.6
3,0.00,-38.8
4,0.00,-14.5
5,0.00,-35.7
6,3.62,-46.5
7,0.27,-58.3
8,4.90,-29.0
9,0.00,-21.5
10,0.00,-15.3
11,0.00,-180.3
12,0.01,-112.9